A geometry-optimized Nd3HgTe2 structure, computed with PBE.

Cell lengths 7.893, 7.893, 7.893 Å; angles 147.86, 132.52, 58.49 degrees
Element x y z (fractional)
Nd  0.000  0.000  0.000
Nd  0.334  0.334  0.000
Nd  0.666  0.666  0.000
Hg  0.500  0.000  0.500
Te  0.167  0.667  0.500
Te  0.833  0.333  0.500

Values from the calculation:
E_form (uncorrected)   -1.12 eV/atom
Space-group type   Immm (71)
Total DFT energy (no corrections)   -27.60 eV per cell